w) DFT (PBE-GGA) results for a geometry-optimized ThSbRh3 structure.

The structure in extended XYZ format:
```
10
Lattice="5.4533 0.0000 0.0000 0.0000 7.6202 0.0000 0.0000 0.0000 5.1313" Properties=species:S:1:pos:R:3 pbc="T T T"
Th 0.0000 0.0000 0.0000
Th 2.7266 3.8101 0.0000
Sb 0.0000 3.8101 2.5657
Sb 2.7266 0.0000 2.5657
Rh 0.0000 3.8101 0.0000
Rh 0.4443 1.3134 2.5657
Rh 2.2824 5.1235 2.5657
Rh 2.7266 0.0000 0.0000
Rh 3.1709 2.4968 2.5657
Rh 5.0090 6.3069 2.5657
```

Values from the calculation:
Size of the total moment, Bohr magnetons per cell: 0.0

x) DFT (PBE-GGA) results for a geometry-optimized ThSbRh3 structure.

The structure in extended XYZ format:
```
10
Lattice="-2.8366 3.9404 4.3698 2.8366 -3.9404 4.3698 2.8366 3.9404 -4.3698" Properties=species:S:1:pos:R:3 pbc="T T T"
Th 0.0000 1.9702 0.0795
Th 2.8366 1.9702 4.2903
Sb 2.8366 0.0000 0.0000
Sb 0.0000 0.0000 4.3698
Rh 2.8366 1.9702 -1.7444
Rh 1.4183 4.4083 -2.1849
Rh 1.4183 0.4679 2.1849
Rh -1.4183 3.4724 2.1849
Rh 1.4183 3.4724 2.1849
Rh 0.0000 1.9702 6.1142
```

Values from the calculation:
Size of the total moment, Bohr magnetons per cell: 0.0

List of relative energies, unit meV/atom: w) 257; x) 0

w) DFT (PBE-GGA) results for a geometry-optimized Ti2SbRh8 structure.

The structure in extended XYZ format:
```
11
Lattice="6.9786 -1.9880 0.0000 6.9786 1.9880 0.0000 -1.6169 0.0000 5.9332" Properties=species:S:1:pos:R:3 pbc="T T T"
Ti 2.8299 0.0000 0.9406
Ti 9.5105 0.0000 4.9926
Sb 6.1702 0.0000 2.9666
Rh 0.2336 0.0000 1.3226
Rh 0.9712 0.0000 4.2367
Rh 3.5374 0.0000 3.4814
Rh 5.5736 0.0000 0.1995
Rh 6.7667 0.0000 5.7337
Rh 8.8030 0.0000 2.4518
Rh 11.3691 0.0000 1.6965
Rh 12.1067 0.0000 4.6106
```

Values from the calculation:
Size of the total moment, Bohr magnetons per cell: 0.0

x) DFT (PBE-GGA) results for a geometry-optimized Ti2SbRh8 structure.

The structure in extended XYZ format:
```
11
Lattice="-2.0981 3.4489 5.8246 2.0981 -3.4489 5.8246 2.0981 3.4489 -5.8246" Properties=species:S:1:pos:R:3 pbc="T T T"
Ti 0.0000 0.0000 2.3389
Ti 0.0000 0.0000 9.3103
Sb 0.0000 0.0000 5.8246
Rh 2.0981 1.4497 -1.8031
Rh 0.0000 1.2709 0.0000
Rh 2.0981 0.0000 4.1093
Rh 2.0981 1.4497 1.8031
Rh 0.0000 1.9992 4.0215
Rh 0.0000 3.4489 1.7152
Rh 0.0000 5.6269 0.0000
Rh 0.0000 1.9992 7.6277
```

Values from the calculation:
Size of the total moment, Bohr magnetons per cell: 0.0

List of relative energies, unit meV/atom: w) 0; x) 105

w) DFT (PBE-GGA) results for a geometry-optimized Tl2SbRh structure.

The structure in extended XYZ format:
```
4
Lattice="3.3691 0.0000 0.0000 0.0000 3.3691 0.0000 0.0000 0.0000 8.6974" Properties=species:S:1:pos:R:3 pbc="T T T"
Tl 0.0000 0.0000 0.0000
Tl 1.6845 1.6845 2.6973
Sb 1.6845 1.6845 6.0120
Rh 0.0000 0.0000 4.7165
```

Values from the calculation:
Size of the total moment, Bohr magnetons per cell: 0.0

x) DFT (PBE-GGA) results for a geometry-optimized Tl2SbRh structure.

The structure in extended XYZ format:
```
4
Lattice="4.2608 0.0000 0.0000 0.0000 4.2608 0.0000 0.0000 0.0000 5.2019" Properties=species:S:1:pos:R:3 pbc="T T T"
Tl 0.0000 2.1304 0.0000
Tl 2.1304 0.0000 0.0000
Sb 0.0000 0.0000 2.6010
Rh 2.1304 2.1304 2.6010
```

Values from the calculation:
Size of the total moment, Bohr magnetons per cell: 0.0

y) DFT (PBE-GGA) results for a geometry-optimized Tl2SbRh structure.

The structure in extended XYZ format:
```
4
Lattice="-2.5130 2.5130 3.7113 2.5130 -2.5130 3.7113 2.5130 2.5130 -3.7113" Properties=species:S:1:pos:R:3 pbc="T T T"
Tl 0.0000 0.0000 0.0000
Tl 0.0000 2.5130 1.8556
Sb 0.0000 0.0000 3.7113
Rh 2.5130 0.0000 1.8556
```

Values from the calculation:
Size of the total moment, Bohr magnetons per cell: 0.0

List of relative energies, unit meV/atom: w) 0; x) 405; y) 347

w) DFT (PBE-GGA) results for a geometry-optimized Tl2SbRh structure.

The structure in extended XYZ format:
```
4
Lattice="3.5324 0.0000 0.0000 0.0000 5.0359 0.0000 0.0000 0.0000 5.2791" Properties=species:S:1:pos:R:3 pbc="T T T"
Tl 0.0000 0.0000 0.0000
Tl 1.7662 2.5179 0.0000
Sb 0.0000 2.5179 2.6395
Rh 1.7662 0.0000 2.6395
```

Values from the calculation:
Size of the total moment, Bohr magnetons per cell: 0.0

x) DFT (PBE-GGA) results for a geometry-optimized Tl2SbRh structure.

The structure in extended XYZ format:
```
4
Lattice="1.8788 1.0847 8.4712 -1.8788 1.0847 8.4712 0.0000 -2.1695 8.4712" Properties=species:S:1:pos:R:3 pbc="T T T"
Tl 0.0000 0.0000 0.0000
Tl 0.0000 0.0000 5.9418
Sb 0.0000 0.0000 19.5862
Rh 0.0000 0.0000 12.5342
```

Values from the calculation:
Size of the total moment, Bohr magnetons per cell: 0.0

List of relative energies, unit meV/atom: w) 369; x) 0

w) DFT (PBE-GGA) results for a geometry-optimized Tl2SbRh structure.

The structure in extended XYZ format:
```
4
Lattice="-2.2094 2.2094 4.7612 2.2094 -2.2094 4.7612 2.2094 2.2094 -4.7612" Properties=species:S:1:pos:R:3 pbc="T T T"
Tl 2.2094 0.0000 2.3806
Tl 0.0000 2.2094 2.3806
Sb 0.0000 0.0000 0.0000
Rh 0.0000 0.0000 4.7612
```

Values from the calculation:
Size of the total moment, Bohr magnetons per cell: 0.0

x) DFT (PBE-GGA) results for a geometry-optimized Tl2SbRh structure.

The structure in extended XYZ format:
```
4
Lattice="2.9271 -5.6011 0.0000 2.9271 5.6011 0.0000 -2.0636 0.0000 2.8997" Properties=species:S:1:pos:R:3 pbc="T T T"
Tl 1.4636 2.8005 0.0000
Tl 1.4636 -2.8005 0.0000
Sb -1.0318 0.0000 1.4499
Rh 1.8953 0.0000 1.4499
```

Values from the calculation:
Size of the total moment, Bohr magnetons per cell: 0.0

List of relative energies, unit meV/atom: w) 29; x) 0

w) DFT (PBE-GGA) results for a geometry-optimized Tl2SbRh structure.

The structure in extended XYZ format:
```
4
Lattice="-1.6151 2.3573 6.6018 1.6151 -2.3573 6.6018 1.6151 2.3573 -6.6018" Properties=species:S:1:pos:R:3 pbc="T T T"
Tl 0.0000 0.0000 0.0000
Tl 0.0000 2.3573 2.4807
Sb 1.6151 0.0000 4.2057
Rh 0.0000 0.0000 6.3413
```

Values from the calculation:
Size of the total moment, Bohr magnetons per cell: 0.0

x) DFT (PBE-GGA) results for a geometry-optimized Tl2SbRh structure.

The structure in extended XYZ format:
```
4
Lattice="0.0000 3.6071 3.6071 3.6071 0.0000 3.6071 3.6071 3.6071 0.0000" Properties=species:S:1:pos:R:3 pbc="T T T"
Tl 1.8036 1.8036 1.8036
Tl 5.4107 5.4107 5.4107
Sb 0.0000 0.0000 0.0000
Rh 3.6071 3.6071 3.6071
```

Values from the calculation:
Size of the total moment, Bohr magnetons per cell: 0.0

y) DFT (PBE-GGA) results for a geometry-optimized Tl2SbRh structure.

The structure in extended XYZ format:
```
4
Lattice="1.7198 0.9929 9.4013 -1.7198 0.9929 9.4013 0.0000 -1.9858 9.4013" Properties=species:S:1:pos:R:3 pbc="T T T"
Tl 0.0000 0.0000 6.6766
Tl 0.0000 0.0000 21.5272
Sb 0.0000 0.0000 0.0000
Rh 0.0000 0.0000 14.1019
```

Values from the calculation:
Size of the total moment, Bohr magnetons per cell: 0.0

List of relative energies, unit meV/atom: w) 0; x) 406; y) 231

w) DFT (PBE-GGA) results for a geometry-optimized Tl2SbRh structure.

The structure in extended XYZ format:
```
4
Lattice="3.1173 -4.5057 0.0000 3.1173 4.5057 0.0000 0.0000 0.0000 3.3270" Properties=species:S:1:pos:R:3 pbc="T T T"
Tl 1.5586 2.2528 0.0000
Tl 1.5586 -2.2528 0.0000
Sb 0.0000 0.0000 1.6635
Rh 3.1173 0.0000 1.6635
```

Values from the calculation:
Size of the total moment, Bohr magnetons per cell: 0.0

x) DFT (PBE-GGA) results for a geometry-optimized Tl2SbRh structure.

The structure in extended XYZ format:
```
4
Lattice="3.2238 0.0000 0.0000 0.0000 3.2238 0.0000 0.0000 0.0000 9.1251" Properties=species:S:1:pos:R:3 pbc="T T T"
Tl 0.0000 0.0000 1.8109
Tl 0.0000 0.0000 7.3142
Sb 1.6119 1.6119 4.5625
Rh 1.6119 1.6119 0.0000
```

Values from the calculation:
Size of the total moment, Bohr magnetons per cell: 0.0

List of relative energies, unit meV/atom: w) 168; x) 0

w) DFT (PBE-GGA) results for a geometry-optimized Tm5Sb2Rh structure.

The structure in extended XYZ format:
```
16
Lattice="2.8723 -4.5671 0.0000 2.8723 4.5671 0.0000 0.0000 0.0000 15.9173" Properties=species:S:1:pos:R:3 pbc="T T T"
Tm 2.8723 3.9812 9.4876
Tm 2.8723 3.9812 14.3884
Tm 2.8723 2.3210 3.9793
Tm 2.8723 0.8879 10.1609
Tm 2.8723 0.8879 13.7150
Tm 2.8723 -0.8879 2.2023
Tm 2.8723 -0.8879 5.7564
Tm 2.8723 -2.3210 11.9380
Tm 2.8723 -3.9812 1.5289
Tm 2.8723 -3.9812 6.4297
Sb 2.8723 1.9955 0.9226
Sb 2.8723 1.9955 7.0361
Sb 2.8723 -1.9955 8.8812
Sb 2.8723 -1.9955 14.9948
Rh 2.8723 3.1664 11.9380
Rh 2.8723 -3.1664 3.9793
```

Values from the calculation:
Size of the total moment, Bohr magnetons per cell: 0.0

x) DFT (PBE-GGA) results for a geometry-optimized Tm5Sb2Rh structure.

The structure in extended XYZ format:
```
16
Lattice="7.8235 0.0000 0.0000 0.0000 12.0915 0.0000 0.0000 0.0000 4.4297" Properties=species:S:1:pos:R:3 pbc="T T T"
Tm 0.0000 0.0000 0.0000
Tm 1.1656 3.6296 0.0000
Tm 1.4207 6.8557 2.2149
Tm 2.4910 0.8099 2.2149
Tm 2.7461 9.6753 0.0000
Tm 3.9118 6.0457 0.0000
Tm 5.0774 2.4162 0.0000
Tm 5.3325 11.2815 2.2149
Tm 6.4028 5.2358 2.2149
Tm 6.6579 8.4619 0.0000
Sb 0.4990 9.9947 2.2149
Sb 3.4128 3.9489 2.2149
Sb 4.4107 8.1425 2.2149
Sb 7.3245 2.0968 2.2149
Rh 0.0000 6.0457 0.0000
Rh 3.9118 0.0000 0.0000
```

Values from the calculation:
Size of the total moment, Bohr magnetons per cell: 0.0

List of relative energies, unit meV/atom: w) 318; x) 0

w) DFT (PBE-GGA) results for a geometry-optimized TmSbRh4 structure.

The structure in extended XYZ format:
```
12
Lattice="2.3399 -6.9629 0.0000 2.3399 6.9629 0.0000 0.0000 0.0000 6.7915" Properties=species:S:1:pos:R:3 pbc="T T T"
Tm 2.3399 5.4352 5.0936
Tm 2.3399 -5.4352 1.6979
Sb 2.3399 2.0234 5.0936
Sb 2.3399 -2.0234 1.6979
Rh 2.3399 5.8882 1.6979
Rh 2.3399 3.3148 0.4877
Rh 2.3399 3.3148 2.9080
Rh 2.3399 0.0000 0.0000
Rh 2.3399 0.0000 3.3957
Rh 2.3399 -3.3148 3.8834
Rh 2.3399 -3.3148 6.3038
Rh 2.3399 -5.8882 5.0936
```

Values from the calculation:
Size of the total moment, Bohr magnetons per cell: 0.0

x) DFT (PBE-GGA) results for a geometry-optimized TmSbRh4 structure.

The structure in extended XYZ format:
```
6
Lattice="0.0000 3.7378 3.7378 3.7378 0.0000 3.7378 3.7378 3.7378 0.0000" Properties=species:S:1:pos:R:3 pbc="T T T"
Tm 0.0000 0.0000 0.0000
Sb 1.8689 1.8689 1.8689
Rh 4.6675 2.8081 2.8081
Rh 2.8081 4.6675 2.8081
Rh 2.8081 2.8081 4.6675
Rh 4.6675 4.6675 4.6675
```

Values from the calculation:
Size of the total moment, Bohr magnetons per cell: 0.0

List of relative energies, unit meV/atom: w) 122; x) 0

w) DFT (PBE-GGA) results for a geometry-optimized SbRhW structure.

The structure in extended XYZ format:
```
3
Lattice="-1.4800 2.0028 4.3511 1.4800 -2.0028 4.3511 1.4800 2.0028 -4.3511" Properties=species:S:1:pos:R:3 pbc="T T T"
Sb 0.0000 0.0000 0.0000
Rh 0.0000 0.0000 5.8662
W 0.0000 0.0000 2.8042
```

Values from the calculation:
Size of the total moment, Bohr magnetons per cell: 0.0

x) DFT (PBE-GGA) results for a geometry-optimized SbRhW structure.

The structure in extended XYZ format:
```
3
Lattice="3.0160 0.0000 0.0000 -1.5080 2.6119 0.0000 0.0000 0.0000 6.6669" Properties=species:S:1:pos:R:3 pbc="T T T"
Sb 0.0000 0.0000 0.0000
Rh 0.0000 1.7413 4.4047
W 1.5080 0.8706 2.3740
```

Values from the calculation:
Size of the total moment, Bohr magnetons per cell: 0.0

y) DFT (PBE-GGA) results for a geometry-optimized SbRhW structure.

The structure in extended XYZ format:
```
3
Lattice="4.5002 0.0000 0.0000 -2.2501 3.8972 0.0000 0.0000 0.0000 2.9237" Properties=species:S:1:pos:R:3 pbc="T T T"
Sb 0.0000 0.0000 0.0000
Rh 2.2501 1.2991 0.0084
W 0.0000 2.5982 1.4675
```

Values from the calculation:
Size of the total moment, Bohr magnetons per cell: 0.8

List of relative energies, unit meV/atom: w) 65; x) 0; y) 92

w) DFT (PBE-GGA) results for a geometry-optimized SbRh3W structure.

The structure in extended XYZ format:
```
5
Lattice="4.7007 0.0000 0.0000 0.0000 4.7007 0.0000 0.0000 0.0000 4.7007" Properties=species:S:1:pos:R:3 pbc="T T T"
Sb 0.0000 0.0000 0.0000
Rh 0.0000 0.0000 2.3503
Rh 0.0000 2.3503 0.0000
Rh 2.3503 0.0000 0.0000
W 2.3503 2.3503 2.3503
```

Values from the calculation:
Size of the total moment, Bohr magnetons per cell: 0.0

x) DFT (PBE-GGA) results for a geometry-optimized SbRh3W structure.

The structure in extended XYZ format:
```
5
Lattice="4.7350 0.0000 0.0000 0.0000 4.7350 0.0000 0.0000 0.0000 4.7350" Properties=species:S:1:pos:R:3 pbc="T T T"
Sb 0.0000 0.0000 0.0000
Rh 0.0000 2.3675 2.3675
Rh 2.3675 0.0000 2.3675
Rh 2.3675 2.3675 0.0000
W 2.3675 2.3675 2.3675
```

Values from the calculation:
Size of the total moment, Bohr magnetons per cell: 0.0

List of relative energies, unit meV/atom: w) 730; x) 0